Material: HfSb2Pd8
Method: DFT, PBE
State: relaxed

Unit cell a=4.0376 b=7.5560 c=7.5800 alpha=119.90 beta=105.45 gamma=90.00
Last column: nearest neighbours and their distance in Å.
Atoms (fractional coordinates):
Pd: 0.0000 0.7222 0.0000  2 Sb 2.71, 6 Pd 2.81-2.89, 2 Hf 2.91
Pd: 0.3345 0.5723 0.6691  3 Sb 2.70-2.85, 7 Pd 2.84-2.93, 1 Hf 2.87
Pd: 0.8509 0.8509 0.7018  2 Hf 2.75, 8 Pd 2.81-2.93, 2 Sb 3.03
Pd: 0.6655 0.9032 0.3309  3 Sb 2.70-2.85, 7 Pd 2.84-2.93, 1 Hf 2.87
Pd: 0.0000 0.2778 0.0000  2 Sb 2.71, 6 Pd 2.81-2.89, 2 Hf 2.91
Pd: 0.6655 0.4277 0.3309  3 Sb 2.70-2.85, 7 Pd 2.84-2.93, 1 Hf 2.87
Pd: 0.1491 0.1491 0.2982  2 Hf 2.75, 8 Pd 2.81-2.93, 2 Sb 3.03
Pd: 0.3345 0.0968 0.6691  3 Sb 2.70-2.85, 7 Pd 2.84-2.93, 1 Hf 2.87
Hf: 0.5000 0.0000 0.0000  12 Pd 2.75-2.91
Sb: 0.1704 0.6704 0.3407  8 Pd 2.70-2.85
Sb: 0.8296 0.3296 0.6593  8 Pd 2.70-2.85

Results
The value obtained for the energy above the most stable polymorph in this dataset is 0.0 meV/atom. As for the space group: Immm, No. 71. As for the formation energy (no corrections): -568.0 meV/atom.



Material: LiTmThMn
Method: DFT, PBE
State: relaxed

Unit cell a=4.9622 b=4.9622 c=4.9622 alpha=60.00 beta=60.00 gamma=60.00
Last column: nearest neighbours and their distance in Å.
Atoms (fractional coordinates):
Mn: 0.2500 0.2500 0.2500  4 Tm 3.04, 4 Th 3.04
Th: 0.5000 0.5000 0.5000  4 Mn 3.04, 4 Li 3.04
Tm: 0.0000 0.0000 0.0000  4 Li 3.04, 4 Mn 3.04
Li: 0.7500 0.7500 0.7500  4 Th 3.04, 4 Tm 3.04

Results
The calculation puts the formation enthalpy at 0 K at 0.12 eV/atom. As for the space group: F-43m, No. 216.



Material: Hf3BiBr
Method: DFT, PBE
State: relaxed

Unit cell a=4.9836 b=4.9836 c=4.9836 alpha=90.00 beta=90.00 gamma=90.00
Last column: nearest neighbours and their distance in Å.
Atoms (fractional coordinates):
Hf: 0.0000 0.5000 0.0000  2 Br 2.49
Hf: 0.0000 0.0000 0.5000  2 Br 2.49
Hf: 0.5000 0.0000 0.0000  2 Br 2.49
Br: 0.0000 0.0000 0.0000  6 Hf 2.49
Bi: 0.5000 0.5000 0.5000  12 Hf 3.52

Results
The value obtained for the energy above the most stable polymorph in this dataset is 0.0 meV/atom. As for the space group: Pm-3m, No. 221. As for the formation energy (no corrections): 634.3 meV/atom.



Material: AcCeNi2
Method: DFT, PBE
State: relaxed

Unit cell a=4.1228 b=4.1228 c=7.0246 alpha=72.93 beta=72.93 gamma=60.00
Last column: nearest neighbours and their distance in Å.
Atoms (fractional coordinates):
Ni: 0.2615 0.2615 0.2156  3 Ce 2.77, 3 Ac 3.03
Ni: 0.7385 0.7385 0.7844  3 Ce 2.77, 3 Ac 3.03
Ce: 0.0000 0.0000 0.0000  6 Ni 2.77
Ac: 0.5000 0.5000 0.5000  6 Ni 3.03

Results
The value obtained for the energy above the most stable polymorph in this dataset is 5.8 meV/atom. The calculation puts the formation enthalpy at 0 K at -0.20 eV/atom. As for the space group: R-3m, No. 166.



Material: CsLi2S2
Method: DFT, PBE
State: relaxed

Unit cell a=8.2381 b=8.2381 c=3.1977 alpha=90.00 beta=90.00 gamma=90.00
Last column: nearest neighbours and their distance in Å.
Atoms (fractional coordinates):
Cs: 0.0000 0.0000 0.0000  2 Cs 3.20, 4 Li 3.35, 8 S 3.51
Cs: 0.5000 0.5000 0.0000  2 Cs 3.20, 4 Li 3.35, 8 S 3.51
Li: 0.6087 0.1087 0.0000  1 Li 2.53, 4 S 2.71
Li: 0.3913 0.8913 0.0000  1 Li 2.53, 4 S 2.71
Li: 0.8913 0.6087 0.0000  1 Li 2.53, 4 S 2.71
Li: 0.1087 0.3913 0.0000  1 Li 2.53, 4 S 2.71
S: 0.6534 0.8466 0.5000  4 Li 2.71
S: 0.1534 0.6534 0.5000  4 Li 2.71
S: 0.8466 0.3466 0.5000  4 Li 2.71
S: 0.3466 0.1534 0.5000  4 Li 2.71

Results
The value obtained for the energy above the most stable polymorph in this dataset is 206.5 meV/atom. As for the space group: P4/mbm, No. 127. As for the formation energy (no corrections): -789.7 meV/atom.



Material: Sr2In6HgPd
Method: DFT, PBE
State: relaxed

Unit cell a=7.2394 b=7.2394 c=13.5223 alpha=74.47 beta=74.47 gamma=60.00
Last column: nearest neighbours and their distance in Å.
Atoms (fractional coordinates):
Hg: 0.5744 0.5744 0.2769  1 Pd 2.87, 6 In 2.99
Hg: 0.4256 0.4256 0.7231  1 Pd 2.87, 6 In 2.99
Sr: 0.7210 0.7210 0.8370  12 In 3.61-3.75
Sr: 0.2790 0.2790 0.1630  12 In 3.61-3.75
Sr: 0.1037 0.1037 0.6890  12 In 3.73-3.99, 1 Pd 4.00
Sr: 0.8963 0.8963 0.3110  12 In 3.73-3.99, 1 Pd 4.00
In: 0.6452 0.2222 0.9103  1 Pd 2.67, 1 Hg 2.99
In: 0.3548 0.7778 0.0897  1 Pd 2.67, 1 Hg 2.99
In: 0.0780 0.6657 0.5906  1 Pd 2.72, 2 In 2.98, 1 Hg 2.99
In: 0.6657 0.0780 0.5906  1 Pd 2.72, 2 In 2.98, 1 Hg 2.99
In: 0.2222 0.6452 0.9103  1 Pd 2.67, 1 Hg 2.99
In: 0.6657 0.6657 0.5906  1 Pd 2.72, 2 In 2.98, 1 Hg 2.99
In: 0.7778 0.3548 0.0897  1 Pd 2.67, 1 Hg 2.99
In: 0.3343 0.3343 0.4094  1 Pd 2.72, 2 In 2.98, 1 Hg 2.99
In: 0.3343 0.9220 0.4094  1 Pd 2.72, 2 In 2.98, 1 Hg 2.99
In: 0.7778 0.7778 0.0897  1 Pd 2.67, 1 Hg 2.99
In: 0.9220 0.3343 0.4094  1 Pd 2.72, 2 In 2.98, 1 Hg 2.99
In: 0.2222 0.2222 0.9103  1 Pd 2.67, 1 Hg 2.99
Pd: 0.0000 0.0000 0.0000  6 In 2.67
Pd: 0.5000 0.5000 0.5000  6 In 2.72, 2 Hg 2.87

Results
The calculation puts the formation enthalpy at 0 K at -0.28 eV/atom. As for the space group: R-3m, No. 166.



no.,total moment (μB per atom),V (Å³/f.u.)
1,0.000,191
2,0.332,86
3,0.000,124
4,0.033,97
5,0.000,109
6,0.000,292